VASP calculation (PBE-GGA) on Pr4Er5Sc after structural relaxation.

The value obtained for the calculated total energy is -4.7905 eV per atom. The value obtained for the energy of formation is 36 meV per atom.

The structure belongs to space group P4/mmm (No. 123); the cell edges are 3.5931, 3.5931 and 24.8367 Å and the angles 90.00°, 90.00° and 90.00°. The inequivalent atoms are Pr at (0.0000, 0.0000, 0.1021), Pr at (0.0000, 0.0000, 0.3071), Er at (0.5000, 0.5000, 0.0000), Er at (0.5000, 0.5000, 0.2047), Er at (0.5000, 0.5000, 0.4110) and Sc at (0.0000, 0.0000, 0.5000).